1.
{
  "formula": "GeBr4",
  "functional": "GGA-PBE",
  "state": "optimized geometry",
  "raw_formation_energy_ev_per_atom": -0.6016,
  "dft_energy_ev_per_atom": -2.863,
  "magmom_total_mub_per_fu": 0.000,
  "cell": [[12.0990, 0.0000, 0.0000], [0.0000, 12.0990, 0.0000], [0.0000, 0.0000, 12.0990]],
  "species": ["Ge", "Ge", "Ge", "Ge", "Ge", "Ge", "Ge", "Ge", "Br", "Br", "Br", "Br", "Br", "Br", "Br", "Br", "Br", "Br", "Br", "Br", "Br", "Br", "Br", "Br", "Br", "Br", "Br", "Br", "Br", "Br", "Br", "Br", "Br", "Br", "Br", "Br", "Br", "Br", "Br", "Br"],
  "fractional_positions": [[0.1355, 0.1355, 0.1355], [0.1355, 0.3645, 0.6355], [0.3645, 0.6355, 0.1355], [0.3645, 0.8645, 0.6355], [0.6355, 0.1355, 0.3645], [0.6355, 0.3645, 0.8645], [0.8645, 0.6355, 0.3645], [0.8645, 0.8645, 0.8645], [0.0135, 0.2450, 0.0377], [0.0135, 0.2550, 0.5377], [0.0377, 0.0135, 0.2450], [0.0377, 0.4865, 0.7450], [0.2450, 0.0377, 0.0135], [0.2454, 0.2454, 0.2454], [0.2454, 0.2546, 0.7454], [0.2450, 0.4623, 0.5135], [0.2550, 0.5377, 0.0135], [0.2546, 0.7454, 0.2454], [0.2546, 0.7546, 0.7454], [0.2550, 0.9623, 0.5135], [0.4623, 0.5135, 0.2450], [0.4623, 0.9865, 0.7450], [0.4865, 0.7450, 0.0377], [0.4865, 0.7550, 0.5377], [0.5135, 0.2450, 0.4623], [0.5135, 0.2550, 0.9623], [0.5377, 0.0135, 0.2550], [0.5377, 0.4865, 0.7550], [0.7450, 0.0377, 0.4865], [0.7454, 0.2454, 0.2546], [0.7454, 0.2546, 0.7546], [0.7450, 0.4623, 0.9865], [0.7550, 0.5377, 0.4865], [0.7546, 0.7454, 0.2546], [0.7546, 0.7546, 0.7546], [0.7550, 0.9623, 0.9865], [0.9623, 0.5135, 0.2550], [0.9623, 0.9865, 0.7550], [0.9865, 0.7450, 0.4623], [0.9865, 0.7550, 0.9623]]
}


2.
{
  "formula": "GeBr3",
  "functional": "GGA-PBE",
  "state": "optimized geometry",
  "raw_formation_energy_ev_per_atom": 0.1782,
  "dft_energy_ev_per_atom": -2.231,
  "magmom_total_mub_per_fu": 0.993,
  "cell": [[7.4194, 0.0000, 0.0000], [0.0000, 7.4194, 0.0000], [0.0000, 0.0000, 7.4194]],
  "species": ["Ge", "Ge", "Ge", "Ge", "Br", "Br", "Br", "Br", "Br", "Br", "Br", "Br", "Br", "Br", "Br", "Br"],
  "fractional_positions": [[0.0000, 0.0000, 0.0000], [0.0000, 0.5000, 0.5000], [0.5000, 0.0000, 0.5000], [0.5000, 0.5000, 0.0000], [0.0000, 0.0000, 0.5000], [0.0000, 0.5000, 0.0000], [0.2500, 0.2500, 0.2500], [0.2500, 0.2500, 0.7500], [0.2500, 0.7500, 0.2500], [0.2500, 0.7500, 0.7500], [0.5000, 0.0000, 0.0000], [0.5000, 0.5000, 0.5000], [0.7500, 0.2500, 0.2500], [0.7500, 0.2500, 0.7500], [0.7500, 0.7500, 0.2500], [0.7500, 0.7500, 0.7500]]
}


3.
{
  "formula": "GeBr3",
  "functional": "GGA-PBE",
  "state": "optimized geometry",
  "raw_formation_energy_ev_per_atom": -0.1738,
  "dft_energy_ev_per_atom": -2.583,
  "magmom_total_mub_per_fu": 0.931,
  "cell": [[3.8818, 0.0000, 0.0000], [-1.9409, 3.3617, 0.0000], [0.0000, 0.0000, 34.7464]],
  "species": ["Ge", "Ge", "Ge", "Br", "Br", "Br", "Br", "Br", "Br", "Br", "Br", "Br"],
  "fractional_positions": [[0.0000, 0.0000, 0.0000], [0.3333, 0.6667, 0.6667], [0.6667, 0.3333, 0.3333], [0.0000, 0.0000, 0.3819], [0.0000, 0.0000, 0.5000], [0.0000, 0.0000, 0.6181], [0.3333, 0.6667, 0.0485], [0.3333, 0.6667, 0.1667], [0.3333, 0.6667, 0.2848], [0.6667, 0.3333, 0.7152], [0.6667, 0.3333, 0.8333], [0.6667, 0.3333, 0.9515]]
}


4.
{
  "formula": "GeH4Br2",
  "functional": "GGA-PBE",
  "state": "optimized geometry",
  "dft_energy_ev_per_atom": -2.954,
  "magmom_total_mub_per_fu": 0.000,
  "cell": [[7.1163, 0.0000, 0.0000], [0.0000, 5.1616, 0.0000], [-2.5142, 0.0000, 8.0823]],
  "species": ["Ge", "Ge", "H", "H", "H", "H", "H", "H", "H", "H", "Br", "Br", "Br", "Br"],
  "fractional_positions": [[0.0000, 0.0000, 0.0000], [0.5000, 0.5000, 0.0000], [0.2070, 0.0000, 0.1236], [0.3475, 0.5000, 0.0949], [0.4728, 0.2572, 0.8911], [0.4728, 0.7428, 0.8911], [0.7070, 0.5000, 0.1236], [0.8475, 0.0000, 0.0949], [0.9728, 0.2428, 0.8911], [0.9728, 0.7572, 0.8911], [0.0745, 0.2499, 0.4999], [0.0745, 0.7501, 0.4999], [0.5745, 0.2501, 0.4999], [0.5745, 0.7499, 0.4999]]
}


5.
{
  "formula": "GeHBr",
  "functional": "GGA-PBE",
  "state": "optimized geometry",
  "dft_energy_ev_per_atom": -2.948,
  "magmom_total_mub_per_fu": 0.000,
  "cell": [[3.3210, 0.0000, 0.0000], [0.0000, 3.3210, 0.0000], [0.0000, 0.0000, 10.9058]],
  "species": ["Ge", "Ge", "H", "H", "Br", "Br"],
  "fractional_positions": [[0.0000, 0.0000, 0.0000], [0.5000, 0.5000, 0.5000], [0.0000, 0.0000, 0.5052], [0.5000, 0.5000, 0.0052], [0.0000, 0.0000, 0.7841], [0.5000, 0.5000, 0.2841]]
}


6.
{
  "formula": "GeHBr2",
  "functional": "GGA-PBE",
  "state": "optimized geometry",
  "dft_energy_ev_per_atom": -2.782,
  "magmom_total_mub_per_fu": 0.000,
  "cell": [[3.7798, 0.0000, 0.0000], [-1.8899, 3.2734, 0.0000], [0.0000, 0.0000, 23.0700]],
  "species": ["Ge", "Ge", "Ge", "H", "H", "H", "Br", "Br", "Br", "Br", "Br", "Br"],
  "fractional_positions": [[0.0000, 0.0000, 0.0000], [0.3333, 0.6667, 0.6667], [0.6667, 0.3333, 0.3333], [0.0000, 0.0000, 0.5000], [0.3333, 0.6667, 0.1667], [0.6667, 0.3333, 0.8333], [0.0000, 0.0000, 0.4245], [0.0000, 0.0000, 0.5755], [0.3333, 0.6667, 0.0912], [0.3333, 0.6667, 0.2421], [0.6667, 0.3333, 0.7579], [0.6667, 0.3333, 0.9088]]
}


7.
{
  "formula": "GeH2Br",
  "functional": "GGA-PBE",
  "state": "optimized geometry",
  "dft_energy_ev_per_atom": -3.078,
  "magmom_total_mub_per_fu": 0.000,
  "cell": [[5.5837, 0.0000, 0.0000], [0.0000, 5.5837, 0.0000], [0.0000, 0.0000, 7.8956]],
  "species": ["Ge", "Ge", "Ge", "Ge", "H", "H", "H", "H", "H", "H", "H", "H", "Br", "Br", "Br", "Br"],
  "fractional_positions": [[0.0000, 0.0000, 0.0000], [0.0000, 0.5000, 0.2500], [0.5000, 0.0000, 0.7500], [0.5000, 0.5000, 0.5000], [0.0016, 0.2500, 0.1250], [0.2500, 0.5016, 0.3750], [0.2500, 0.9984, 0.8750], [0.4984, 0.2500, 0.6250], [0.5016, 0.7500, 0.6250], [0.7500, 0.0016, 0.8750], [0.7500, 0.4984, 0.3750], [0.9984, 0.7500, 0.1250], [0.0000, 0.0000, 0.5000], [0.0000, 0.5000, 0.7500], [0.5000, 0.0000, 0.2500], [0.5000, 0.5000, 0.0000]]
}


8.
{
  "formula": "GeH3Br",
  "functional": "GGA-PBE",
  "state": "optimized geometry",
  "dft_energy_ev_per_atom": -3.373,
  "magmom_total_mub_per_fu": 0.000,
  "cell": [[4.7660, 0.0000, 0.0000], [-0.0597, 5.8768, 0.0000], [-0.0029, -0.0062, 7.0053]],
  "species": ["Ge", "Ge", "H", "H", "H", "H", "H", "H", "Br", "Br"],
  "fractional_positions": [[0.0000, 0.0000, 0.0000], [0.4975, 0.5138, 0.4995], [0.3197, 0.0201, 0.9998], [0.3614, 0.4215, 0.6818], [0.3616, 0.4216, 0.3169], [0.8172, 0.4993, 0.4997], [0.8638, 0.0904, 0.8178], [0.8646, 0.0902, 0.1827], [0.3888, 0.9037, 0.4999], [0.8907, 0.6086, 0.9997]]
}


9.
{
  "formula": "Ge2HBr",
  "functional": "GGA-PBE",
  "state": "optimized geometry",
  "dft_energy_ev_per_atom": -3.164,
  "magmom_total_mub_per_fu": 0.000,
  "cell": [[5.0764, 0.0000, 0.0000], [0.0000, 5.0764, 0.0000], [0.0000, 0.0000, 13.5474]],
  "species": ["Ge", "Ge", "Ge", "Ge", "Ge", "Ge", "Ge", "Ge", "H", "H", "H", "H", "Br", "Br", "Br", "Br"],
  "fractional_positions": [[0.0803, 0.2500, 0.1250], [0.2500, 0.5803, 0.3750], [0.2500, 0.9197, 0.8750], [0.4197, 0.2500, 0.6250], [0.5803, 0.7500, 0.6250], [0.7500, 0.0803, 0.8750], [0.7500, 0.4197, 0.3750], [0.9197, 0.7500, 0.1250], [0.0000, 0.0000, 0.0000], [0.0000, 0.5000, 0.2500], [0.5000, 0.0000, 0.7500], [0.5000, 0.5000, 0.5000], [0.0000, 0.0000, 0.5000], [0.0000, 0.5000, 0.7500], [0.5000, 0.0000, 0.2500], [0.5000, 0.5000, 0.0000]]
}


10.
{
  "formula": "GeH2Br",
  "functional": "GGA-PBE",
  "state": "optimized geometry",
  "dft_energy_ev_per_atom": -2.342,
  "magmom_total_mub_per_fu": 0.000,
  "cell": [[5.9671, 0.0000, 0.0000], [0.0000, 5.9671, 0.0000], [0.0000, 0.0000, 5.9671]],
  "species": ["Ge", "Ge", "Ge", "Ge", "H", "H", "H", "H", "H", "H", "H", "H", "Br", "Br", "Br", "Br"],
  "fractional_positions": [[0.0000, 0.0000, 0.0000], [0.0000, 0.5000, 0.5000], [0.5000, 0.0000, 0.5000], [0.5000, 0.5000, 0.0000], [0.2500, 0.2500, 0.2500], [0.2500, 0.2500, 0.7500], [0.2500, 0.7500, 0.2500], [0.2500, 0.7500, 0.7500], [0.7500, 0.2500, 0.2500], [0.7500, 0.2500, 0.7500], [0.7500, 0.7500, 0.2500], [0.7500, 0.7500, 0.7500], [0.0000, 0.0000, 0.5000], [0.0000, 0.5000, 0.0000], [0.5000, 0.0000, 0.0000], [0.5000, 0.5000, 0.5000]]
}


11.
{
  "formula": "GeH2Br",
  "functional": "GGA-PBE",
  "state": "optimized geometry",
  "dft_energy_ev_per_atom": -3.389,
  "magmom_total_mub_per_fu": 0.000,
  "cell": [[5.6357, 0.0000, 0.0000], [-1.8102, 5.3393, 0.0000], [-0.2953, -0.3824, 5.9061]],
  "species": ["Ge", "Ge", "H", "H", "H", "H", "Br", "Br"],
  "fractional_positions": [[0.0000, 0.0000, 0.0000], [0.3679, 0.3676, 0.1017], [0.3230, 0.5809, 0.2442], [0.5305, 0.4529, 0.9019], [0.7860, 0.0452, 0.8575], [0.9156, 0.8365, 0.1997], [0.1468, 0.7442, 0.7507], [0.6254, 0.2205, 0.3507]]
}


12.
{
  "formula": "GeH3Br",
  "functional": "GGA-PBE",
  "state": "optimized geometry",
  "dft_energy_ev_per_atom": -2.094,
  "magmom_total_mub_per_fu": 0.000,
  "cell": [[3.9105, 0.0000, 0.0000], [0.0000, 3.9105, 0.0000], [0.0000, 0.0000, 3.9105]],
  "species": ["Ge", "H", "H", "H", "Br"],
  "fractional_positions": [[0.0000, 0.0000, 0.0000], [0.0000, 0.5000, 0.5000], [0.5000, 0.0000, 0.5000], [0.5000, 0.5000, 0.0000], [0.5000, 0.5000, 0.5000]]
}